{
  "formula": "YEr7Tm3",
  "functional": "GGA-PBE",
  "state": "relaxed",
  "formation_enthalpy_0k_ev_per_atom": 0.2793,
  "de_polymorph_mev_per_atom": 125,
  "cell": [[6.224, -5.520, 0.000], [6.224, 5.520, 0.000], [-2.606, 0.000, 5.072]],
  "species": ["Y", "Er", "Er", "Er", "Er", "Er", "Er", "Er", "Tm", "Tm", "Tm"],
  "frac_coords": [[0.000, 0.000, 0.000], [0.000, 0.000, 0.500], [0.100, 0.495, 0.798], [0.294, 0.294, 0.295], [0.495, 0.100, 0.798], [0.505, 0.900, 0.202], [0.706, 0.706, 0.705], [0.900, 0.505, 0.202], [0.293, 0.707, 0.500], [0.500, 0.500, 0.000], [0.707, 0.293, 0.500]]
}